{"formula": "Ag3F4", "functional": "PBE-GGA", "state": "relaxed", "raw_formation_energy_kcal_per_mol_atoms": -23.629, "total_magnetization_mub_per_atom": 0.0624, "de_polymorph_ev_per_atom": 0.0000, "spacegroup": "I4/mmm (139)", "dos_ef_per_ev_cell": 5.2, "cell": [[5.0212, 0.0000, 0.0000], [0.0000, 5.0212, 0.0000], [-2.5106, -2.5106, 4.5233]], "species": ["F", "F", "F", "F", "Ag", "Ag", "Ag"], "frac_coords": [[0.7537, 0.7537, 0.5074], [0.2463, 0.2463, 0.4926], [0.5000, 0.0000, 0.0000], [0.0000, 0.5000, 0.0000], [0.0000, 0.0000, 0.0000], [0.7500, 0.2500, 0.5000], [0.2500, 0.7500, 0.5000]]}

=====

{"formula": "Ag4F", "functional": "PBE-GGA", "state": "relaxed", "raw_formation_energy_kcal_per_mol_atoms": -0.118, "total_magnetization_mub_per_atom": 0.0000, "de_polymorph_ev_per_atom": 0.3129, "spacegroup": "Pm-3m (221)", "dos_ef_per_ev_cell": 1.5, "cell": [[-0.8294, 2.5958, 3.7113], [0.9876, -3.5786, 2.7237], [4.4201, 1.2867, 0.0879]], "species": ["Ag", "Ag", "Ag", "Ag", "F"], "frac_coords": [[0.0000, 0.0000, 0.0000], [0.5000, 0.5000, 0.0000], [0.0000, 0.5000, 0.5000], [0.5000, 0.0000, 0.5000], [0.5000, 0.5000, 0.5000]]}

=====

{"formula": "AgF", "functional": "PBE-GGA", "state": "relaxed", "raw_formation_energy_kcal_per_mol_atoms": -20.663, "total_magnetization_mub_per_atom": 0.0000, "de_polymorph_ev_per_atom": 0.0681, "spacegroup": "F-43m (216)", "dos_ef_per_ev_cell": 0.3, "cell": [[3.8661, -0.0006, -0.0009], [-1.9324, 3.3486, 0.0009], [-1.9324, -1.1163, 3.1570]], "species": ["Ag", "F"], "frac_coords": [[0.5000, 0.2500, 0.7500], [0.0000, 0.0000, 0.0000]]}

=====

{"formula": "Ag5F2", "functional": "PBE-GGA", "state": "relaxed", "raw_formation_energy_kcal_per_mol_atoms": -12.859, "total_magnetization_mub_per_atom": 0.0000, "spacegroup": "C2/m (12)", "dos_ef_per_ev_cell": 1.2, "cell": [[2.9527, 0.0000, 0.7523], [1.4961, 5.0901, 0.2985], [-0.3784, -0.6788, 7.6560]], "species": ["Ag", "Ag", "Ag", "Ag", "Ag", "F", "F"], "frac_coords": [[0.6386, 0.5694, 0.1534], [0.7452, 0.8239, 0.6857], [0.0000, 0.0000, 0.0000], [0.2548, 0.1761, 0.3143], [0.3614, 0.4306, 0.8466], [0.6005, 0.2388, 0.5603], [0.3995, 0.7612, 0.4397]]}